(1)
Computed, not measured: a relaxed PrNd2Y5 crystal at the PBE-GGA level of DFT.

Cell and atoms, written as CIF:
```
data_PrNd2Y5
_cell_length_a 16.4470
_cell_length_b 10.0321
_cell_length_c 6.5818
_cell_angle_alpha 90.00
_cell_angle_beta 97.82
_cell_angle_gamma 90.00
_space_group_name_H-M_alt 'C 1 2/c 1'
_space_group_IT_number 15
_space_group_name_Hall '-C 2yc'
loop_
_atom_site_label
_atom_site_fract_x
_atom_site_fract_y
_atom_site_fract_z
_atom_site_occupancy
Pr1 0.2500 0.2500 0.0000 1
Nd1 0.0768 0.2471 0.1153 1
Y1 0.0000 0.4409 0.7500 1
Y2 0.0989 0.0876 0.6440 1
Y3 0.1961 0.4099 0.5234 1
```

Output
DFT total energy	-5.675	eV/atom

(2)
Computed, not measured: a relaxed SrPmPb crystal at the PBE-GGA level of DFT.

Cell and atoms, written as CIF:
```
data_SrPmPb
_cell_length_a 3.6750
_cell_length_b 3.6750
_cell_length_c 18.1924
_cell_angle_alpha 90.00
_cell_angle_beta 90.00
_cell_angle_gamma 90.00
_space_group_name_H-M_alt 'I 4 m m'
_space_group_IT_number 107
_space_group_name_Hall 'I 4 -2'
loop_
_atom_site_label
_atom_site_fract_x
_atom_site_fract_y
_atom_site_fract_z
_atom_site_occupancy
Sr1 0.0000 0.0000 0.0000 1
Pm1 0.0000 0.0000 0.7938 1
Pb1 0.0000 0.0000 0.1799 1
```

Output
DFT total energy	-3.284	eV/atom

(3)
Computed, not measured: a relaxed SrTbS2 crystal at the PBE-GGA level of DFT.

Cell and atoms, written as CIF:
```
data_SrTbS2
_cell_length_a 4.0213
_cell_length_b 4.0213
_cell_length_c 13.8114
_cell_angle_alpha 90.00
_cell_angle_beta 90.00
_cell_angle_gamma 120.00
_space_group_name_H-M_alt 'P 63/m m c'
_space_group_IT_number 194
_space_group_name_Hall '-P 6c 2c'
loop_
_atom_site_label
_atom_site_fract_x
_atom_site_fract_y
_atom_site_fract_z
_atom_site_occupancy
Sr1 0.3333 0.6667 0.2500 1
Tb1 0.0000 0.0000 0.0000 1
S1 0.3333 0.6667 0.6135 1
```

Output
E_form (uncorrected)	-2020	meV/atom

(4)
Computed, not measured: a relaxed BTePtN2 crystal at the PBE-GGA level of DFT.

Cell and atoms, written as CIF:
```
data_BTePtN2
_cell_length_a 3.4684
_cell_length_b 3.4684
_cell_length_c 7.7529
_cell_angle_alpha 90.00
_cell_angle_beta 90.00
_cell_angle_gamma 90.00
_space_group_name_H-M_alt 'P 4/m m m'
_space_group_IT_number 123
_space_group_name_Hall '-P 4 2'
loop_
_atom_site_label
_atom_site_fract_x
_atom_site_fract_y
_atom_site_fract_z
_atom_site_occupancy
B1 0.0000 0.0000 0.0000 1
Te1 0.0000 0.0000 0.5000 1
Pt1 0.5000 0.5000 0.5000 1
N1 0.0000 0.5000 0.0000 1
```

Output
E_form (uncorrected)	1535	meV/atom

(5)
Computed, not measured: a relaxed Pr5Nd3Sc crystal at the PBE-GGA level of DFT.

Cell and atoms, written as CIF:
```
data_Pr5Nd3Sc
_cell_length_a 17.0880
_cell_length_b 8.4614
_cell_length_c 9.5332
_cell_angle_alpha 90.00
_cell_angle_beta 105.51
_cell_angle_gamma 90.00
_space_group_name_H-M_alt 'C 1 2/m 1'
_space_group_IT_number 12
_space_group_name_Hall '-C 2y'
loop_
_atom_site_label
_atom_site_fract_x
_atom_site_fract_y
_atom_site_fract_z
_atom_site_occupancy
Pr1 0.0000 0.1789 0.0000 1
Pr2 0.0020 0.0000 0.3251 1
Pr3 0.1577 0.2095 0.5906 1
Pr4 0.1988 0.0000 0.9350 1
Nd1 0.0000 0.5000 0.0000 1
Nd2 0.0000 0.5000 0.5000 1
Nd3 0.1513 0.5000 0.2876 1
Nd4 0.1996 0.0000 0.2857 1
Sc1 0.1230 0.5000 0.8319 1
```

Output
DFT total energy	-4.553	eV/atom

(6)
Computed, not measured: a relaxed Tb5Y2TmTh crystal at the PBE-GGA level of DFT.

Cell and atoms, written as CIF:
```
data_Tb5Y2TmTh
_cell_length_a 5.7105
_cell_length_b 21.5143
_cell_length_c 9.7181
_cell_angle_alpha 90.00
_cell_angle_beta 90.00
_cell_angle_gamma 90.00
_space_group_name_H-M_alt 'C m c 21'
_space_group_IT_number 36
_space_group_name_Hall 'C 2c -2'
loop_
_atom_site_label
_atom_site_fract_x
_atom_site_fract_y
_atom_site_fract_z
_atom_site_occupancy
Tb1 0.0000 0.0153 0.0000 1
Tb2 0.0000 0.2719 0.3062 1
Tb3 0.0000 0.3033 0.6990 1
Tb4 0.0000 0.3990 0.0249 1
Tb5 0.0000 0.4693 0.7268 1
Y1 0.0000 0.1157 0.3117 1
Y2 0.0000 0.1281 0.6953 1
Tm1 0.0000 0.1900 0.9995 1
Th1 0.0000 0.4046 0.4082 1
```

Output
DFT total energy	-5.171	eV/atom

(7)
Computed, not measured: a relaxed MnCr2Ni crystal at the PBE-GGA level of DFT.

Cell and atoms, written as CIF:
```
data_MnCr2Ni
_cell_length_a 2.9090
_cell_length_b 3.8952
_cell_length_c 7.9251
_cell_angle_alpha 90.00
_cell_angle_beta 90.00
_cell_angle_gamma 90.00
_space_group_name_H-M_alt 'C m m 2'
_space_group_IT_number 35
_space_group_name_Hall 'C 2 -2'
loop_
_atom_site_label
_atom_site_fract_x
_atom_site_fract_y
_atom_site_fract_z
_atom_site_occupancy
Mn1 0.0000 0.0000 0.0000 1
Cr1 0.0000 0.0000 0.4977 1
Cr2 0.0000 0.5000 0.7523 1
Ni1 0.0000 0.5000 0.2489 1
```

Output
DFT total energy	-8.471	eV/atom

(8)
Computed, not measured: a relaxed SiSb crystal at the PBE-GGA level of DFT.

Cell and atoms, written as CIF:
```
data_SiSb
_cell_length_a 3.8413
_cell_length_b 3.8413
_cell_length_c 3.6040
_cell_angle_alpha 90.00
_cell_angle_beta 90.00
_cell_angle_gamma 120.00
_space_group_name_H-M_alt 'P -6 m 2'
_space_group_IT_number 187
_space_group_name_Hall 'P -6 2'
loop_
_atom_site_label
_atom_site_fract_x
_atom_site_fract_y
_atom_site_fract_z
_atom_site_occupancy
Si1 0.0000 0.0000 0.0000 1
Sb1 0.3333 0.6667 0.5000 1
```

Output
E_form (uncorrected)	432	meV/atom

(9)
Computed, not measured: a relaxed CeSm2ErTl4 crystal at the PBE-GGA level of DFT.

Cell and atoms, written as CIF:
```
data_CeSm2ErTl4
_cell_length_a 5.4389
_cell_length_b 5.4389
_cell_length_c 26.8581
_cell_angle_alpha 90.00
_cell_angle_beta 90.00
_cell_angle_gamma 120.00
_space_group_name_H-M_alt 'R -3 m'
_space_group_IT_number 166
_space_group_name_Hall '-R 3 2"'
loop_
_atom_site_label
_atom_site_fract_x
_atom_site_fract_y
_atom_site_fract_z
_atom_site_occupancy
Ce1 0.0000 0.0000 0.0000 1
Sm1 0.0000 0.0000 0.2487 1
Er1 0.0000 0.0000 0.5000 1
Tl1 0.0000 0.0000 0.1261 1
Tl2 0.0000 0.0000 0.3764 1
```

Output
DFT total energy	-3.986	eV/atom

(10)
Computed, not measured: a relaxed Pr3YTm2Te6 crystal at the PBE-GGA level of DFT.

Cell and atoms, written as CIF:
```
data_Pr3YTm2Te6
_cell_length_a 19.5139
_cell_length_b 4.3500
_cell_length_c 9.0261
_cell_angle_alpha 90.00
_cell_angle_beta 105.83
_cell_angle_gamma 90.00
_space_group_name_H-M_alt 'C 1 2/m 1'
_space_group_IT_number 12
_space_group_name_Hall '-C 2y'
loop_
_atom_site_label
_atom_site_fract_x
_atom_site_fract_y
_atom_site_fract_z
_atom_site_occupancy
Pr1 0.0000 0.0000 0.0000 1
Pr2 0.1642 0.5000 0.3321 1
Y1 0.0000 0.0000 0.5000 1
Tm1 0.1655 0.5000 0.8313 1
Te1 0.0052 0.5000 0.7433 1
Te2 0.1648 0.0000 0.5953 1
Te3 0.1716 0.0000 0.0721 1
```

Output
E_form (uncorrected)	-1338	meV/atom

(11)
Computed, not measured: a relaxed Sr3CuAu crystal at the PBE-GGA level of DFT.

Cell and atoms, written as CIF:
```
data_Sr3CuAu
_cell_length_a 5.9854
_cell_length_b 5.9854
_cell_length_c 5.9854
_cell_angle_alpha 90.00
_cell_angle_beta 90.00
_cell_angle_gamma 90.00
_space_group_name_H-M_alt 'P m -3 m'
_space_group_IT_number 221
_space_group_name_Hall '-P 4 2 3'
loop_
_atom_site_label
_atom_site_fract_x
_atom_site_fract_y
_atom_site_fract_z
_atom_site_occupancy
Sr1 0.0000 0.0000 0.5000 1
Cu1 0.5000 0.5000 0.5000 1
Au1 0.0000 0.0000 0.0000 1
```

Output
DFT total energy	-2.518	eV/atom

(12)
Computed, not measured: a relaxed CaBeBr crystal at the PBE-GGA level of DFT.

Cell and atoms, written as CIF:
```
data_CaBeBr
_cell_length_a 3.9137
_cell_length_b 3.9137
_cell_length_c 6.4597
_cell_angle_alpha 90.00
_cell_angle_beta 90.00
_cell_angle_gamma 120.00
_space_group_name_H-M_alt 'P 3 m 1'
_space_group_IT_number 156
_space_group_name_Hall 'P 3 -2"'
loop_
_atom_site_label
_atom_site_fract_x
_atom_site_fract_y
_atom_site_fract_z
_atom_site_occupancy
Ca1 0.0000 0.0000 0.0000 1
Be1 0.6667 0.3333 0.3019 1
Br1 0.3333 0.6667 0.7148 1
```

Output
E_form (uncorrected)	-82	meV/atom

(13)
Computed, not measured: a relaxed Ac3Ga3Sn crystal at the PBE-GGA level of DFT.

Cell and atoms, written as CIF:
```
data_Ac3Ga3Sn
_cell_length_a 12.2024
_cell_length_b 4.7405
_cell_length_c 15.2828
_cell_angle_alpha 90.00
_cell_angle_beta 108.80
_cell_angle_gamma 90.00
_space_group_name_H-M_alt 'C 1 2/m 1'
_space_group_IT_number 12
_space_group_name_Hall '-C 2y'
loop_
_atom_site_label
_atom_site_fract_x
_atom_site_fract_y
_atom_site_fract_z
_atom_site_occupancy
Ac1 0.0113 0.0000 0.3789 1
Ac2 0.1110 0.0000 0.9260 1
Ac3 0.2332 0.0000 0.2218 1
Ga1 0.0151 0.5000 0.2215 1
Ga2 0.0947 0.5000 0.0752 1
Ga3 0.1407 0.5000 0.5452 1
Sn1 0.2221 0.5000 0.3852 1
```

Output
DFT total energy	-4.180	eV/atom

(14)
Computed, not measured: a relaxed Pr4HoTm3S8 crystal at the PBE-GGA level of DFT.

Cell and atoms, written as CIF:
```
data_Pr4HoTm3S8
_cell_length_a 7.8424
_cell_length_b 7.8424
_cell_length_c 20.1270
_cell_angle_alpha 90.00
_cell_angle_beta 90.00
_cell_angle_gamma 120.00
_space_group_name_H-M_alt 'R -3 m'
_space_group_IT_number 166
_space_group_name_Hall '-R 3 2"'
loop_
_atom_site_label
_atom_site_fract_x
_atom_site_fract_y
_atom_site_fract_z
_atom_site_occupancy
Pr1 0.0000 0.0000 0.0000 1
Pr2 0.0000 0.5000 0.0000 1
Ho1 0.0000 0.0000 0.5000 1
Tm1 0.0000 0.5000 0.5000 1
S1 0.0000 0.0000 0.2413 1
S2 0.0021 0.5010 0.7583 1
```

Output
E_form (uncorrected)	-1993	meV/atom

(15)
Computed, not measured: a relaxed Ba5AcCd4 crystal at the PBE-GGA level of DFT.

Cell and atoms, written as CIF:
```
data_Ba5AcCd4
_cell_length_a 4.2170
_cell_length_b 4.2170
_cell_length_c 23.1608
_cell_angle_alpha 90.00
_cell_angle_beta 90.00
_cell_angle_gamma 90.00
_space_group_name_H-M_alt 'P 4/m m m'
_space_group_IT_number 123
_space_group_name_Hall '-P 4 2'
loop_
_atom_site_label
_atom_site_fract_x
_atom_site_fract_y
_atom_site_fract_z
_atom_site_occupancy
Ba1 0.0000 0.0000 0.0000 1
Ba2 0.0000 0.0000 0.1865 1
Ba3 0.0000 0.0000 0.3708 1
Ac1 0.5000 0.5000 0.5000 1
Cd1 0.5000 0.5000 0.0936 1
Cd2 0.5000 0.5000 0.2800 1
```

Output
DFT total energy	-1.971	eV/atom

(16)
Computed, not measured: a relaxed MgP crystal at the PBE-GGA level of DFT.

Cell and atoms, written as CIF:
```
data_MgP
_cell_length_a 3.0492
_cell_length_b 3.0492
_cell_length_c 30.0488
_cell_angle_alpha 90.00
_cell_angle_beta 90.00
_cell_angle_gamma 120.00
_space_group_name_H-M_alt 'R -3 m'
_space_group_IT_number 166
_space_group_name_Hall '-R 3 2"'
loop_
_atom_site_label
_atom_site_fract_x
_atom_site_fract_y
_atom_site_fract_z
_atom_site_occupancy
Mg1 0.0000 0.0000 0.1208 1
P1 0.0000 0.0000 0.3899 1
```

Output
DFT total energy	-3.192	eV/atom

(17)
Computed, not measured: a relaxed Pr2ScTe2O2 crystal at the PBE-GGA level of DFT.

Cell and atoms, written as CIF:
```
data_Pr2ScTe2O2
_cell_length_a 4.2375
_cell_length_b 4.2375
_cell_length_c 16.8364
_cell_angle_alpha 90.00
_cell_angle_beta 90.00
_cell_angle_gamma 90.00
_space_group_name_H-M_alt 'I 4/m m m'
_space_group_IT_number 139
_space_group_name_Hall '-I 4 2'
loop_
_atom_site_label
_atom_site_fract_x
_atom_site_fract_y
_atom_site_fract_z
_atom_site_occupancy
Pr1 0.0000 0.0000 0.1054 1
Sc1 0.0000 0.0000 0.5000 1
Te1 0.0000 0.0000 0.3201 1
O1 0.0000 0.5000 0.0000 1
```

Output
E_form (uncorrected)	-2268	meV/atom

(18)
Computed, not measured: a relaxed PH4Se crystal at the PBE-GGA level of DFT.

Cell and atoms, written as CIF:
```
data_PH4Se
_cell_length_a 12.2106
_cell_length_b 6.5944
_cell_length_c 4.6990
_cell_angle_alpha 90.00
_cell_angle_beta 105.41
_cell_angle_gamma 90.00
_space_group_name_H-M_alt 'C 1 2/m 1'
_space_group_IT_number 12
_space_group_name_Hall '-C 2y'
loop_
_atom_site_label
_atom_site_fract_x
_atom_site_fract_y
_atom_site_fract_z
_atom_site_occupancy
P1 0.1980 0.0000 0.1102 1
H1 0.0000 0.0573 0.5000 1
H2 0.1261 0.1691 0.1151 1
H3 0.2086 0.0000 0.8156 1
Se1 0.1428 0.5000 0.5623 1
```

Output
DFT total energy	-3.740	eV/atom

(19)
Computed, not measured: a relaxed Li2Pd2Au7 crystal at the PBE-GGA level of DFT.

Cell and atoms, written as CIF:
```
data_Li2Pd2Au7
_cell_length_a 8.2129
_cell_length_b 9.4630
_cell_length_c 5.5125
_cell_angle_alpha 90.00
_cell_angle_beta 113.17
_cell_angle_gamma 90.00
_space_group_name_H-M_alt 'C 1 2/m 1'
_space_group_IT_number 12
_space_group_name_Hall '-C 2y'
loop_
_atom_site_label
_atom_site_fract_x
_atom_site_fract_y
_atom_site_fract_z
_atom_site_occupancy
Li1 0.0000 0.1604 0.0000 1
Pd1 0.1449 0.5000 0.4304 1
Au1 0.0000 0.0000 0.5000 1
Au2 0.1828 0.2478 0.7053 1
Au3 0.2040 0.5000 0.9740 1
```

Output
DFT total energy	-3.577	eV/atom

(20)
Computed, not measured: a relaxed Ce2SmTm3Bi6 crystal at the PBE-GGA level of DFT.

Cell and atoms, written as CIF:
```
data_Ce2SmTm3Bi6
_cell_length_a 19.6354
_cell_length_b 4.5199
_cell_length_c 9.0098
_cell_angle_alpha 90.00
_cell_angle_beta 103.04
_cell_angle_gamma 90.00
_space_group_name_H-M_alt 'C 1 2/m 1'
_space_group_IT_number 12
_space_group_name_Hall '-C 2y'
loop_
_atom_site_label
_atom_site_fract_x
_atom_site_fract_y
_atom_site_fract_z
_atom_site_occupancy
Ce1 0.1661 0.0000 0.3323 1
Sm1 0.0000 0.5000 0.0000 1
Tm1 0.0000 0.5000 0.5000 1
Tm2 0.1664 0.0000 0.8339 1
Bi1 0.0023 0.0000 0.7452 1
Bi2 0.1645 0.5000 0.5890 1
Bi3 0.1685 0.5000 0.0776 1
```

Output
DFT total energy	-5.250	eV/atom

(21)
Computed, not measured: a relaxed Na4CuH7 crystal at the PBE-GGA level of DFT.

Cell and atoms, written as CIF:
```
data_Na4CuH7
_cell_length_a 12.6850
_cell_length_b 3.5176
_cell_length_c 7.7341
_cell_angle_alpha 90.00
_cell_angle_beta 121.23
_cell_angle_gamma 90.00
_space_group_name_H-M_alt 'C 1 2/m 1'
_space_group_IT_number 12
_space_group_name_Hall '-C 2y'
loop_
_atom_site_label
_atom_site_fract_x
_atom_site_fract_y
_atom_site_fract_z
_atom_site_occupancy
Na1 0.0460 0.0000 0.2350 1
Na2 0.2255 0.0000 0.7899 1
Cu1 0.0000 0.5000 0.5000 1
H1 0.0000 0.0000 0.5000 1
H2 0.0794 0.5000 0.7334 1
H3 0.1280 0.5000 0.4871 1
H4 0.1436 0.0000 0.0610 1
```

Output
DFT total energy	-2.757	eV/atom

Number 1: D(E_F) 50.28 states/eV/cell. Number 2: D(E_F) 5.66 states/eV/cell. Number 3: D(E_F) 2.39 states/eV/cell. Number 4: D(E_F) 2.65 states/eV/cell. Number 5: D(E_F) 52.42 states/eV/cell. Number 6: D(E_F) 50.02 states/eV/cell. Number 7: D(E_F) 10.78 states/eV/cell. Number 8: D(E_F) 1.12 states/eV/cell. Number 9: D(E_F) 39.63 states/eV/cell. Number 10: D(E_F) 11.40 states/eV/cell. Number 11: D(E_F) 2.53 states/eV/cell. Number 12: D(E_F) 1.69 states/eV/cell. Number 13: D(E_F) 18.66 states/eV/cell. Number 14: D(E_F) 17.17 states/eV/cell. Number 15: D(E_F) 8.65 states/eV/cell. Number 16: D(E_F) 4.63 states/eV/cell. Number 17: D(E_F) 6.13 states/eV/cell. Number 18: D(E_F) 0.00 states/eV/cell. Number 19: D(E_F) 6.66 states/eV/cell. Number 20: D(E_F) 26.83 states/eV/cell. Number 21: D(E_F) 3.46 states/eV/cell.